Here is Ce2SmSn2Pd2 after structural relaxation from Alexandria via LeMat-Bulk. Energies are from PBE.

The calculated formation energy comes out at -726 meV/atom. The crystal system is trigonal. As for the raw total energy: -5.72 eV/atom.

It has space group R-3m (No. 166, hexagonal axes), with a = 4.6559 Å, b = 4.6559 Å, c = 26.7196 Å, α = 90.00°, β = 90.00° and γ = 120.00°. The inequivalent atoms are Ce at (0.0000, 0.0000, 0.1425), Sm at (0.0000, 0.0000, 0.0000), Sn at (0.0000, 0.0000, 0.2658) and Pd at (0.0000, 0.0000, 0.4355).



Here is NaPuAl2O6 after structural relaxation from Alexandria via LeMat-Bulk. Energies are from PBE.

The crystal system is monoclinic. For the energy relative to the elements, uncorrected, the calculation gives -257.2 kJ per mole of atoms. As for the raw total energy: -7.95 eV/atom.

It has space group C2/c (No. 15), with a = 10.9063 Å, b = 9.7121 Å, c = 5.8255 Å, α = 90.00°, β = 111.06° and γ = 90.00°. The inequivalent atoms are Na at (0.0000, 0.0891, 0.2500), Pu at (0.0000, 0.2728, 0.7500), Al at (0.2087, 0.4227, 0.1670), O at (0.1006, 0.2741, 0.1131), O at (0.1241, 0.1153, 0.6898) and O at (0.1581, 0.4576, 0.8433).



Here is SrVReHg2 after structural relaxation from Alexandria via LeMat-Bulk. Energies are from PBE.

The calculated formation energy comes out at 1626 meV/atom. The crystal system is tetragonal. As for the raw total energy: -3.14 eV/atom.

It has space group P4/mmm (No. 123), with a = 5.2185 Å, b = 5.2185 Å, c = 5.6864 Å, α = 90.00°, β = 90.00° and γ = 90.00°. The inequivalent atoms are Sr at (0.0000, 0.0000, 0.0000), V at (0.0000, 0.0000, 0.5000), Re at (0.5000, 0.5000, 0.0000) and Hg at (0.0000, 0.5000, 0.5000).



Here is La2HgGePd6 after structural relaxation from Alexandria via LeMat-Bulk. Energies are from PBE.

The calculated formation energy comes out at -629 meV/atom. The crystal system is triclinic. As for the raw total energy: -5.22 eV/atom.

It has space group P-1 (No. 2), with a = 5.5691 Å, b = 6.5048 Å, c = 6.8553 Å, α = 74.97°, β = 66.13° and γ = 64.67°. The inequivalent atoms are La at (0.0048, 0.2475, 0.2427), Hg at (0.5000, 0.5000, 0.0000), Ge at (0.5000, 0.0000, 0.5000), Pd at (0.0180, 0.1887, 0.7786), Pd at (0.3188, 0.4298, 0.4340) and Pd at (0.4848, 0.8124, 0.2207).



Here is TmZnGa2 after structural relaxation from Alexandria via LeMat-Bulk. Energies are from PBE.

The calculated formation energy comes out at -380 meV/atom. The crystal system is trigonal. As for the raw total energy: -3.33 eV/atom.

It has space group R-3m (No. 166, hexagonal axes), with a = 4.2221 Å, b = 4.2221 Å, c = 15.0696 Å, α = 90.00°, β = 90.00° and γ = 120.00°. The inequivalent atoms are Tm at (0.0000, 0.0000, 0.0000), Zn at (0.0000, 0.0000, 0.5000) and Ga at (0.0000, 0.0000, 0.2224).



Here is AlAgBi2F after structural relaxation from Alexandria via LeMat-Bulk. Energies are from PBE.

The crystal system is tetragonal. For the energy relative to the elements, uncorrected, the calculation gives -57.3 kJ per mole of atoms. As for the raw total energy: -3.84 eV/atom.

It has space group P4/mmm (No. 123), with a = 5.7617 Å, b = 5.7617 Å, c = 3.5325 Å, α = 90.00°, β = 90.00° and γ = 90.00°. The inequivalent atoms are Al at (0.0000, 0.0000, 0.0000), Ag at (0.5000, 0.5000, 0.5000), Bi at (0.0000, 0.5000, 0.0000) and F at (0.0000, 0.0000, 0.5000).



Here is SrNpAs after structural relaxation from Alexandria via LeMat-Bulk. Energies are from PBE.

The calculated formation energy comes out at -451 meV/atom. The crystal system is trigonal. As for the raw total energy: -6.88 eV/atom.

It has space group R-3m (No. 166, hexagonal axes), with a = 3.9763 Å, b = 3.9763 Å, c = 37.0359 Å, α = 90.00°, β = 90.00° and γ = 120.00°. The inequivalent atoms are Sr at (0.0000, 0.0000, 0.1163), Np at (0.0000, 0.0000, 0.3477) and As at (0.0000, 0.0000, 0.2705).



Here is Ho2PCl3 after structural relaxation from Alexandria via LeMat-Bulk. Energies are from PBE.

The crystal system is monoclinic. For the energy relative to the elements, uncorrected, the calculation gives -182.7 kJ per mole of atoms. As for the raw total energy: -5.24 eV/atom.

It has space group C2/m (No. 12), with a = 16.3295 Å, b = 4.1599 Å, c = 12.4372 Å, α = 90.00°, β = 125.18° and γ = 90.00°. The inequivalent atoms are Ho at (0.1076, 0.0000, 0.4573), Ho at (0.1368, 0.5000, 0.8239), P at (0.0956, 0.0000, 0.6667), Cl at (0.0572, 0.5000, 0.2709), Cl at (0.1611, 0.0000, 0.0047) and Cl at (0.2369, 0.5000, 0.5960).



Number 6 is which compound?
AlAgBi2F



Which of these has the highest raw total energy?
SrVReHg2



What is the raw total energy in the eighth record?
-5.24 eV/atom